Entry 1:
Entry from the Alexandria database: LiTh2Mg after structural relaxation (PBE).

Cell: 12.6808 12.6808 12.6808 Å, 15.04 15.04 15.04°
Closest atoms and distances in Å follow each position.
Element x y z (fractional)
Li (0.0000, 0.0000, 0.0000)  6 Li 3.32, 2 Th 3.34
Th (0.0888, 0.0888, 0.0888)  6 Th 3.32, 1 Li 3.34, 3 Mg 3.50
Th (0.9112, 0.9112, 0.9112)  6 Th 3.32, 1 Li 3.34, 3 Mg 3.50
Mg (0.5000, 0.5000, 0.5000)  6 Mg 3.32, 6 Th 3.50

Calculated values
Crystal system ... trigonal
Space group ... No. 166
Energy relative to the elements ... 0.25 eV per atom
DOS(E_F) ... 2.59 states/eV per cell
Volume ... 119.62 Å³ per cell
E_tot ... -0.3191 Ry per atom

Entry 2:
Entry from the Alexandria database: Pr2Ga3Cu2 after structural relaxation (PBE).

Cell: 5.6713 5.6713 6.5967 Å, 109.52 109.52 45.62°
Closest atoms and distances in Å follow each position.
Element x y z (fractional)
Pr (0.1538, 0.1538, 0.2763)  5 Cu 3.07-3.33, 8 Ga 3.09-3.38
Pr (0.8462, 0.8462, 0.7237)  5 Cu 3.07-3.33, 8 Ga 3.09-3.38
Ga (0.3995, 0.3995, 0.0741)  3 Cu 2.56-2.67, 2 Ga 2.62
Ga (0.5000, 0.5000, 0.5000)  2 Ga 2.62, 4 Cu 2.89
Ga (0.6005, 0.6005, 0.9259)  3 Cu 2.56-2.67, 2 Ga 2.62
Cu (0.1485, 0.1485, 0.7679)  3 Ga 2.56-2.67
Cu (0.8515, 0.8515, 0.2321)  3 Ga 2.56-2.67

Calculated values
Crystal system ... monoclinic
Space group ... No. 12
Energy relative to the elements ... -0.42 eV per atom
DOS(E_F) ... 4.86 states/eV per cell
Volume ... 141.32 Å³ per cell
E_tot ... -0.3129 Ry per atom

Entry 3:
Entry from the Alexandria database: Sm8Te4SeS3 after structural relaxation (PBE).

Cell: 8.5868 8.5868 8.5868 Å, 58.77 58.77 58.77°
Closest atoms and distances in Å follow each position.
Element x y z (fractional)
Sm (0.2266, 0.7405, 0.7405)  2 S 2.81, 1 Se 2.90, 1 Te 3.14
Sm (0.2350, 0.2350, 0.2350)  3 S 2.83
Sm (0.2595, 0.2595, 0.7734)  2 S 2.81, 1 Se 2.90, 1 Te 3.14
Sm (0.2595, 0.7734, 0.2595)  2 S 2.81, 1 Se 2.90, 1 Te 3.14
Sm (0.7405, 0.2266, 0.7405)  2 S 2.81, 1 Se 2.90, 1 Te 3.14
Sm (0.7405, 0.7405, 0.2266)  2 S 2.81, 1 Se 2.90, 1 Te 3.14
Sm (0.7650, 0.7650, 0.7650)  3 S 2.83
Sm (0.7734, 0.2595, 0.2595)  2 S 2.81, 1 Se 2.90, 1 Te 3.14
Te (0.0000, 0.0000, 0.0000)  6 Sm 3.14
Te (0.0000, 0.5000, 0.5000)  6 Sm 3.21-3.22
Te (0.5000, 0.0000, 0.5000)  6 Sm 3.21-3.22
Te (0.5000, 0.5000, 0.0000)  6 Sm 3.21-3.22
Se (0.5000, 0.5000, 0.5000)  6 Sm 2.90
S (0.0000, 0.0000, 0.5000)  6 Sm 2.81-2.83
S (0.0000, 0.5000, 0.0000)  6 Sm 2.81-2.83
S (0.5000, 0.0000, 0.0000)  6 Sm 2.81-2.83

Calculated values
Crystal system ... trigonal
Space group ... No. 166
DOS(E_F) ... 5.42 states/eV per cell
Volume ... 435.13 Å³ per cell
E_tot ... -0.4284 Ry per atom
ΔE_f (raw) ... -1692 meV per atom

Entry 4:
Entry from the Alexandria database: Cs2AlSiCl6 after structural relaxation (PBE).

Cell: 7.3474 7.3474 7.3474 Å, 120.02 120.02 89.97°
Closest atoms and distances in Å follow each position.
Element x y z (fractional)
Cs (0.2500, 0.7500, 0.5000)  12 Cl 3.68
Cs (0.7500, 0.2500, 0.5000)  12 Cl 3.68
Al (0.0000, 0.0000, 0.0000)  6 Cl 2.45-2.47
Si (0.5000, 0.5000, 0.0000)  6 Cl 2.72-2.74
Cl (0.2360, 0.2360, 0.0000)  1 Al 2.45, 1 Si 2.74
Cl (0.2382, 0.2382, 0.4765)  1 Al 2.47, 1 Si 2.72
Cl (0.2382, 0.7618, 0.0000)  1 Al 2.47, 1 Si 2.72
Cl (0.7618, 0.2382, 0.0000)  1 Al 2.47, 1 Si 2.72
Cl (0.7618, 0.7618, 0.5235)  1 Al 2.47, 1 Si 2.72
Cl (0.7640, 0.7640, 0.0000)  1 Al 2.45, 1 Si 2.74

Calculated values
Crystal system ... tetragonal
Space group ... No. 139
DOS(E_F) ... 3.46 states/eV per cell
Volume ... 280.40 Å³ per cell
E_tot ... -0.2573 Ry per atom
ΔE_f (raw) ... -1306 meV per atom

Entry 5:
Entry from the Alexandria database: LiScGa2Pt2 after structural relaxation (PBE).

Cell: 4.3941 4.3941 5.8318 Å, 90.00 90.00 120.00°
Closest atoms and distances in Å follow each position.
Element x y z (fractional)
Li (0.0000, 0.0000, 0.0000)  6 Ga 2.82, 2 Sc 2.92, 6 Pt 2.92
Sc (0.0000, 0.0000, 0.5000)  2 Li 2.92, 6 Pt 2.93, 6 Ga 3.04
Ga (0.3333, 0.6667, 0.7882)  4 Pt 2.55-2.68, 3 Li 2.82
Ga (0.6667, 0.3333, 0.2118)  4 Pt 2.55-2.68, 3 Li 2.82
Pt (0.3333, 0.6667, 0.2476)  4 Ga 2.55-2.68
Pt (0.6667, 0.3333, 0.7524)  4 Ga 2.55-2.68

Calculated values
Crystal system ... trigonal
Space group ... No. 164
Energy relative to the elements ... -0.88 eV per atom
DOS(E_F) ... 3.47 states/eV per cell
Volume ... 97.52 Å³ per cell
E_tot ... -0.3879 Ry per atom

Entry 6:
Entry from the Alexandria database: MnPb3C after structural relaxation (PBE).

Cell: 5.0915 5.0915 5.0915 Å, 90.00 90.00 90.00°
Closest atoms and distances in Å follow each position.
Element x y z (fractional)
Mn (0.0000, 0.0000, 0.0000)  6 Pb 2.55
Pb (0.0000, 0.0000, 0.5000)  2 Mn 2.55
Pb (0.0000, 0.5000, 0.0000)  2 Mn 2.55
Pb (0.5000, 0.0000, 0.0000)  2 Mn 2.55
C (0.5000, 0.5000, 0.5000)  12 Pb 3.60

Calculated values
Crystal system ... cubic
Space group ... No. 221
Energy relative to the elements ... 1.43 eV per atom
DOS(E_F) ... 1.21 states/eV per cell
Volume ... 131.99 Å³ per cell
E_tot ... -0.3286 Ry per atom

Entry 7:
Entry from the Alexandria database: Rb2Ag2Te after structural relaxation (PBE).

Cell: 6.3701 6.3701 6.3701 Å, 114.04 114.04 100.67°
Closest atoms and distances in Å follow each position.
Element x y z (fractional)
Rb (0.2500, 0.7500, 0.5000)  4 Ag 3.54
Rb (0.7500, 0.2500, 0.5000)  4 Ag 3.54
Ag (0.1611, 0.1611, 0.0000)  1 Ag 2.62, 1 Te 2.76
Ag (0.8389, 0.8389, 0.0000)  1 Ag 2.62, 1 Te 2.76
Te (0.5000, 0.5000, 0.0000)  2 Ag 2.76

Calculated values
Crystal system ... tetragonal
Space group ... No. 139
DOS(E_F) ... 0.00 states/eV per cell
Volume ... 195.54 Å³ per cell
E_tot ... -0.1828 Ry per atom
ΔE_f (raw) ... -331 meV per atom

Entry 8:
Entry from the Alexandria database: Ac2Ga3CuAu4 after structural relaxation (PBE).

Cell: 4.6098 4.6098 10.3943 Å, 90.00 90.00 90.00°
Closest atoms and distances in Å follow each position.
Element x y z (fractional)
Ac (0.0000, 0.5000, 0.2428)  6 Ga 3.42-3.52, 2 Cu 3.42, 9 Au 3.49-3.81
Ac (0.5000, 0.0000, 0.7572)  6 Ga 3.42-3.52, 2 Cu 3.42, 9 Au 3.49-3.81
Ga (0.0000, 0.0000, 0.0000)  4 Au 2.64
Ga (0.0000, 0.5000, 0.6285)  5 Au 2.58-2.66
Ga (0.5000, 0.0000, 0.3715)  5 Au 2.58-2.66
Cu (0.5000, 0.5000, 0.0000)  4 Au 2.64
Au (0.0000, 0.0000, 0.5000)  4 Ga 2.66
Au (0.0000, 0.5000, 0.8767)  3 Ga 2.58-2.64, 2 Cu 2.64
Au (0.5000, 0.0000, 0.1233)  3 Ga 2.58-2.64, 2 Cu 2.64
Au (0.5000, 0.5000, 0.5000)  4 Ga 2.66

Calculated values
Crystal system ... tetragonal
Space group ... No. 115
Energy relative to the elements ... -0.62 eV per atom
DOS(E_F) ... 4.23 states/eV per cell
Volume ... 220.88 Å³ per cell
E_tot ... -0.2988 Ry per atom

Entry 9:
Entry from the Alexandria database: Nd12Tm7Cd after structural relaxation (PBE).

Cell: 10.0244 10.0244 10.0244 Å, 109.47 109.47 109.47°
Closest atoms and distances in Å follow each position.
Element x y z (fractional)
Nd (0.0013, 0.2345, 0.7667)  2 Tm 2.91
Nd (0.2333, 0.4678, 0.2345)  2 Tm 2.91
Nd (0.2333, 0.9987, 0.7655)  2 Tm 2.91
Nd (0.2345, 0.2333, 0.4678)  2 Tm 2.91
Nd (0.2345, 0.7667, 0.0013)  2 Tm 2.91
Nd (0.4678, 0.2345, 0.2333)  2 Tm 2.91
Nd (0.5322, 0.7655, 0.7667)  2 Tm 2.91
Nd (0.7655, 0.2333, 0.9987)  2 Tm 2.91
Nd (0.7655, 0.7667, 0.5322)  2 Tm 2.91
Nd (0.7667, 0.0013, 0.2345)  2 Tm 2.91
Nd (0.7667, 0.5322, 0.7655)  2 Tm 2.91
Nd (0.9987, 0.7655, 0.2333)  2 Tm 2.91
Tm (0.0000, 0.0000, 0.5000)  6 Nd 2.91
Tm (0.0000, 0.5000, 0.0000)  6 Nd 2.91
Tm (0.0000, 0.5000, 0.5000)  12 Nd 4.09-4.36
Tm (0.5000, 0.0000, 0.0000)  6 Nd 2.91
Tm (0.5000, 0.0000, 0.5000)  12 Nd 4.09-4.36
Tm (0.5000, 0.5000, 0.0000)  12 Nd 4.09-4.36
Tm (0.5000, 0.5000, 0.5000)  6 Nd 2.91
Cd (0.0000, 0.0000, 0.0000)  12 Nd 3.83

Calculated values
Crystal system ... cubic
Space group ... No. 204
Energy relative to the elements ... 0.69 eV per atom
DOS(E_F) ... 34.40 states/eV per cell
Volume ... 775.45 Å³ per cell
E_tot ... -0.2780 Ry per atom

Entry 10:
Entry from the Alexandria database: BaAgO3 after structural relaxation (PBE).

Cell: 4.0476 6.5060 7.1052 Å, 69.99 75.35 85.41°
Closest atoms and distances in Å follow each position.
Element x y z (fractional)
Ba (0.2091, 0.3317, 0.2589)  8 O 2.68-3.00
Ba (0.7909, 0.6683, 0.7411)  8 O 2.68-3.00
Ag (0.2310, 0.1303, 0.8058)  4 O 2.18-2.31
Ag (0.7690, 0.8697, 0.1942)  4 O 2.18-2.31
O (0.1578, 0.7592, 0.9764)  2 Ag 2.18-2.31
O (0.3569, 0.4786, 0.5862)  1 O 1.42
O (0.4311, 0.9219, 0.4671)  1 O 1.45
O (0.5689, 0.0781, 0.5329)  1 O 1.45
O (0.6431, 0.5214, 0.4138)  1 O 1.42
O (0.8422, 0.2408, 0.0236)  2 Ag 2.18-2.31

Calculated values
Crystal system ... triclinic
Space group ... No. 2
DOS(E_F) ... 0.43 states/eV per cell
Volume ... 170.08 Å³ per cell
E_tot ... -0.3676 Ry per atom
ΔE_f (raw) ... -1072 meV per atom

Entry 11:
Entry from the Alexandria database: Sr2MnTeAs after structural relaxation (PBE).

Cell: 5.8999 5.8999 4.7171 Å, 90.00 90.00 90.00°
Closest atoms and distances in Å follow each position.
Element x y z (fractional)
Sr (0.0000, 0.5000, 0.0000)  2 Mn 2.95
Sr (0.5000, 0.0000, 0.0000)  2 Mn 2.95
Mn (0.0000, 0.0000, 0.0000)  2 Te 2.36
Te (0.0000, 0.0000, 0.5000)  2 Mn 2.36
As (0.5000, 0.5000, 0.5000)  8 Sr 3.78, 4 Te 4.17

Calculated values
Crystal system ... tetragonal
Space group ... No. 123
DOS(E_F) ... 6.01 states/eV per cell
Volume ... 164.20 Å³ per cell
E_tot ... -0.3027 Ry per atom
ΔE_f (raw) ... -53 meV per atom

Entry 12:
Entry from the Alexandria database: TeMoRhAu2 after structural relaxation (PBE).

Cell: 5.0914 5.0914 4.6639 Å, 90.00 90.00 90.00°
Closest atoms and distances in Å follow each position.
Element x y z (fractional)
Te (0.0000, 0.0000, 0.0000)  8 Au 3.45, 4 Rh 3.60
Mo (0.5000, 0.5000, 0.5000)  2 Rh 2.33, 4 Au 2.55
Rh (0.5000, 0.5000, 0.0000)  2 Mo 2.33
Au (0.0000, 0.5000, 0.5000)  2 Mo 2.55
Au (0.5000, 0.0000, 0.5000)  2 Mo 2.55

Calculated values
Crystal system ... tetragonal
Space group ... No. 123
DOS(E_F) ... 9.07 states/eV per cell
Volume ... 120.90 Å³ per cell
E_tot ... -0.3266 Ry per atom
ΔE_f (raw) ... 1133 meV per atom

What is the formula in the second record? Pr2Ga3Cu2